Record 1
{
  "formula": "FeTe2W",
  "functional": "GGA-PBE",
  "state": "optimized geometry",
  "formation_energy_uncorrected_ev_per_atom": 0.710,
  "magnetic_moment_mub_per_cell": 0.0,
  "relative_energy_mev_per_atom": 746,
  "cell": [[0.0000, 3.2955, 3.2955], [3.2955, 0.0000, 3.2955], [3.2955, 3.2955, 0.0000]],
  "species": ["Te", "Te", "Fe", "W"],
  "fractional_positions": [[0.7500, 0.7500, 0.7500], [0.2500, 0.2500, 0.2500], [0.0000, 0.0000, 0.0000], [0.5000, 0.5000, 0.5000]]
}

=====

Record 2
{
  "formula": "IrPb4Cl",
  "functional": "GGA-PBE",
  "state": "optimized geometry",
  "formation_energy_uncorrected_ev_per_atom": 0.702,
  "magnetic_moment_mub_per_cell": 0.6,
  "cell": [[-3.8784, -3.1837, 3.7374], [-5.9749, 1.7740, 0.5479], [-4.5464, -3.5146, -2.4747]],
  "species": ["Pb", "Pb", "Pb", "Pb", "Cl", "Ir"],
  "fractional_positions": [[0.3741, 0.3741, 0.8777], [0.3741, 0.8777, 0.3741], [0.8777, 0.3741, 0.3741], [0.3741, 0.3741, 0.3741], [0.7500, 0.7500, 0.7500], [0.0000, 0.0000, 0.0000]]
}

=====

Number 1: mass density 11.48 g/cm³, DFT total energy -6.215 eV/atom. Number 2: mass density 10.13 g/cm³, DFT total energy -3.555 eV/atom.